Record 1
The following is a DFT calculation (PBE) of a geometry-optimized Pr3GeSb2Pd9 structure.

raw formation energy: -48 kJ per mole of atoms
size of the total moment: 0.0 μB per cell
space-group type: P-3m1 (164)

Lattice parameters (Å, degrees): 6.9095 6.9095 8.5167 90.00 90.00 120.00
Sites, in units of the cell vectors:
Pr 0.0000 0.0000 0.0000
Pr 0.3333 0.6667 0.7113
Pr 0.6667 0.3333 0.2887
Ge 0.0000 0.0000 0.5000
Sb 0.3333 0.6667 0.2044
Sb 0.6667 0.3333 0.7956
Pd 0.0000 0.5000 0.0000
Pd 0.1342 0.2683 0.2873
Pd 0.1342 0.8658 0.2873
Pd 0.2683 0.1342 0.7127
Pd 0.5000 0.0000 0.0000
Pd 0.5000 0.5000 0.0000
Pd 0.7317 0.8658 0.2873
Pd 0.8658 0.1342 0.7127
Pd 0.8658 0.7317 0.7127

***

Record 2
The following is a DFT calculation (PBE) of a geometry-optimized Pr2ScGePd6 structure.

size of the total moment: 0.0 μB per cell
ΔH_f (0 K): -0.63 eV per atom
space-group type: P-1 (2)

Lattice parameters (Å, degrees): 5.6339 6.4900 6.7637 72.12 65.42 64.34
Sites, in units of the cell vectors:
Pr 0.0028 0.2573 0.2378
Pr 0.9972 0.7427 0.7622
Sc 0.5000 0.0000 0.5000
Ge 0.5000 0.5000 0.0000
Pd 0.0041 0.6930 0.3088
Pd 0.3227 0.9261 0.9263
Pd 0.4951 0.6927 0.3080
Pd 0.5049 0.3073 0.6920
Pd 0.6773 0.0739 0.0737
Pd 0.9959 0.3070 0.6912

***

Record 3
The following is a DFT calculation (PBE) of a geometry-optimized PrScGePd structure.

size of the total moment: 0.0 μB per cell
ΔH_f (0 K): -0.69 eV per atom
space-group type: F-43m (216)

Lattice parameters (Å, degrees): 4.9947 4.9947 4.9947 60.00 60.00 60.00
Sites, in units of the cell vectors:
Pr 0.0000 0.0000 0.0000
Sc 0.5000 0.5000 0.5000
Ge 0.7500 0.7500 0.7500
Pd 0.2500 0.2500 0.2500

***

What are the total DFT energy (no corrections) values for these records? In order: -81.43 -57.97 -23.69 eV/cell.